TlNi2Rh: relaxed, PBE.

a b c (Å): 4.538 6.292 2.912
angles (deg): 62.50 89.96 123.03
Positions (direct):
Ni  0.000  0.000  0.000
Ni  0.000  0.500  0.500
Rh  0.500  0.500  0.000
Tl  0.500  0.000  0.500

As for the energy relative to the elements: 0.254 eV/atom. The total magnetization is 0.00 μB/f.u. For the total energy, the calculation gives -5.07 eV per atom.


NiMo2Au: relaxed, PBE.

a b c (Å): 7.127 7.127 5.645
angles (deg): 50.85 50.85 90.00
Positions (direct):
Ni  0.500  0.500  0.000
Ni  0.250  0.750  0.500
Mo  0.587  0.125  0.250
Mo  0.163  0.625  0.250
Mo  0.375  0.413  0.750
Mo  0.875  0.837  0.750
Au  0.000  0.000  0.000
Au  0.750  0.250  0.500

As for the energy relative to the elements: 0.605 eV/atom. The total magnetization is 0.00 μB/f.u. For the total energy, the calculation gives -7.08 eV per atom.


Sr2As2H4Pt: relaxed, PBE.

a b c (Å): 5.891 5.891 5.891
angles (deg): 94.92 117.20 117.20
Site moments in Bohr magnetons follow the coordinates.
Positions (direct):
Sr  0.500  0.750  0.250  0.04
Sr  0.500  0.250  0.750  0.04
As  0.000  0.657  0.657  0.20
As  0.000  0.343  0.343  0.20
H  0.000  0.808  0.192  0.01
H  0.616  0.808  0.808  0.01
H  0.000  0.192  0.808  0.01
H  0.384  0.192  0.192  0.01
Pt  0.000  0.000  0.000  0.06

The total magnetization is 1.09 μB/f.u. For the total energy, the calculation gives -3.99 eV per atom.